i | Below is a relaxed TcNiPt2 crystal, with properties calculated at the GGA-PBEsol level.

Cell: 2.6843 4.6369 4.6382 Å, 99.58 106.82 90.00°
Sites, in units of the cell vectors:
1 Ni 0.0000 0.5000 0.0000
2 Tc 0.5000 0.0000 0.0000
3 Pt 0.2513 0.2507 0.5026
4 Pt 0.7487 0.7493 0.4974

Output
- Crystal system: monoclinic
- Symmetry: C2/m, No. 12
- DOS(E_F): 3.76 states/eV/f.u.


ii | Below is a relaxed TcNiPt2 crystal, with properties calculated at the GGA-PBEsol level.

Cell: 2.6920 3.8075 5.2870 Å, 90.00 90.00 90.00°
Sites, in units of the cell vectors:
1 Ni 0.5000 0.5000 0.5000
2 Tc 0.5000 0.5000 0.0000
3 Pt 0.0000 0.0000 0.7484
4 Pt 0.0000 0.0000 0.2516

Output
- Crystal system: orthorhombic
- Symmetry: Pmmm, No. 47
- DOS(E_F): 4.33 states/eV/f.u.


Here are the energies relative to the best structure, in kJ/mol of atoms: i 6.5; ii 0.0.


i | Below is a relaxed TcNiPt2 crystal, with properties calculated at the GGA-PBEsol level.

Cell: 2.6854 2.6854 7.5020 Å, 90.00 90.00 90.00°
Sites, in units of the cell vectors:
1 Ni 0.5000 0.5000 0.7409
2 Tc 0.0000 0.0000 0.5174
3 Pt 0.0000 0.0000 0.9810
4 Pt 0.5000 0.5000 0.2607

Output
- Crystal system: tetragonal
- Symmetry: P4mm, No. 99
- DOS(E_F): 3.52 states/eV/f.u.


ii | Below is a relaxed TcNiPt2 crystal, with properties calculated at the GGA-PBEsol level.

Cell: 3.7882 3.7882 3.7965 Å, 90.00 90.00 90.00°
Sites, in units of the cell vectors:
1 Ni 0.0000 0.0000 0.5000
2 Pt 0.0000 0.5000 0.0000
3 Pt 0.5000 0.0000 0.0000
4 Tc 0.5000 0.5000 0.5000

Output
- Crystal system: tetragonal
- Symmetry: P4/mmm, No. 123
- DOS(E_F): 6.13 states/eV/f.u.


iii | Below is a relaxed TcNiPt2 crystal, with properties calculated at the GGA-PBEsol level.

Cell: 2.6881 2.6881 7.4855 Å, 90.00 90.00 90.00°
Last column: magnetic moment on the atom in μB.
Sites, in units of the cell vectors:
1 Ni 0.5000 0.5000 0.5000  0.22
2 Tc 0.5000 0.5000 0.0000  -0.01
3 Pt 0.0000 0.0000 0.7440  0.02
4 Pt 0.0000 0.0000 0.2560  0.02

Output
- Crystal system: tetragonal
- Symmetry: P4/mmm, No. 123
- DOS(E_F): 4.25 states/eV/f.u.


Here are the energies relative to the best structure, in kJ/mol of atoms: i 4.2; ii 17.0; iii 0.0.


i | Below is a relaxed TcNiPt2 crystal, with properties calculated at the GGA-PBEsol level.

Cell: 3.7594 3.7594 4.6704 Å, 113.73 113.73 90.00°
Sites, in units of the cell vectors:
1 Ni 0.2500 0.7500 0.5000
2 Tc 0.5000 0.5000 0.0000
3 Pt 0.0000 0.0000 0.0000
4 Pt 0.7500 0.2500 0.5000

Output
- Crystal system: tetragonal
- Symmetry: I-4m2, No. 119
- DOS(E_F): 3.34 states/eV/f.u.


ii | Below is a relaxed TcNiPt2 crystal, with properties calculated at the GGA-PBEsol level.

Cell: 2.6720 4.3409 4.7019 Å, 90.00 90.00 90.00°
Sites, in units of the cell vectors:
1 Ni 0.5000 0.5000 0.2176
2 Tc 0.5000 0.0000 0.5302
3 Pt 0.0000 0.0000 0.0458
4 Pt 0.0000 0.5000 0.7065

Output
- Crystal system: orthorhombic
- Symmetry: Pmm2, No. 25
- DOS(E_F): 5.35 states/eV/f.u.


Here are the energies relative to the best structure, in kJ/mol of atoms: i 0.0; ii 0.8.


i | Below is a relaxed TcNiPt crystal, with properties calculated at the GGA-PBEsol level.

Cell: 2.6625 3.7332 4.5575 Å, 114.18 106.98 90.00°
Sites, in units of the cell vectors:
1 Ni 0.0047 0.0047 0.0094
2 Tc 0.6616 0.6616 0.3232
3 Pt 0.3337 0.3337 0.6673

Output
- Crystal system: orthorhombic
- Symmetry: Imm2, No. 44
- DOS(E_F): 2.51 states/eV/f.u.


ii | Below is a relaxed TcNiPt crystal, with properties calculated at the GGA-PBEsol level.

Cell: 2.6710 2.6710 5.8071 Å, 103.30 103.30 90.00°
Sites, in units of the cell vectors:
1 Ni 0.9936 0.9936 0.9873
2 Tc 0.3419 0.3419 0.6837
3 Pt 0.6645 0.6645 0.3290

Output
- Crystal system: tetragonal
- Symmetry: I4mm, No. 107
- DOS(E_F): 3.00 states/eV/f.u.


Here are the energies relative to the best structure, in kJ/mol of atoms: i 0.0; ii 1.6.


i | Below is a relaxed Ni2TePt crystal, with properties calculated at the GGA-PBEsol level.

Cell: 4.3088 4.3088 4.3088 Å, 60.00 60.00 60.00°
Sites, in units of the cell vectors:
1 Ni 0.2500 0.2500 0.2500
2 Ni 0.7500 0.7500 0.7500
3 Pt 0.0000 0.0000 0.0000
4 Te 0.5000 0.5000 0.5000

Output
- Crystal system: cubic
- Symmetry: Fm-3m, No. 225
- DOS(E_F): 2.37 states/eV/f.u.


ii | Below is a relaxed Ni2TePt crystal, with properties calculated at the GGA-PBEsol level.

Cell: 3.8916 3.8916 5.1434 Å, 67.77 67.77 60.00°
Sites, in units of the cell vectors:
1 Ni 0.0240 0.0240 0.9280
2 Ni 0.7339 0.7339 0.7983
3 Pt 0.4805 0.4805 0.5584
4 Te 0.2616 0.2616 0.2152

Output
- Crystal system: trigonal
- Symmetry: R3m, No. 160
- DOS(E_F): 3.10 states/eV/f.u.


Here are the energies relative to the best structure, in kJ/mol of atoms: i 0.0; ii 9.4.


i | Below is a relaxed NiTePt2 crystal, with properties calculated at the GGA-PBEsol level.

Cell: 4.4626 4.4626 4.4626 Å, 60.00 60.00 60.00°
Sites, in units of the cell vectors:
1 Ni 0.5000 0.5000 0.5000
2 Pt 0.0000 0.0000 0.0000
3 Pt 0.7500 0.7500 0.7500
4 Te 0.2500 0.2500 0.2500

Output
- Crystal system: cubic
- Symmetry: F-43m, No. 216
- DOS(E_F): 2.85 states/eV/f.u.


ii | Below is a relaxed NiTePt2 crystal, with properties calculated at the GGA-PBEsol level.

Cell: 3.5989 4.4002 4.6884 Å, 106.80 90.00 114.14°
Sites, in units of the cell vectors:
1 Ni 0.2515 0.5030 0.7552
2 Pt 0.9943 0.9885 0.9663
3 Pt 0.7496 0.4992 0.2487
4 Te 0.5046 0.0093 0.5299

Output
- Crystal system: monoclinic
- Symmetry: Cm, No. 8
- DOS(E_F): 3.51 states/eV/f.u.


iii | Below is a relaxed NiTePt2 crystal, with properties calculated at the GGA-PBEsol level.

Cell: 3.8993 3.8993 4.9337 Å, 113.28 113.28 90.00°
Sites, in units of the cell vectors:
1 Ni 0.0000 0.0000 0.0000
2 Pt 0.7500 0.2500 0.5000
3 Pt 0.2500 0.7500 0.5000
4 Te 0.5000 0.5000 0.0000

Output
- Crystal system: tetragonal
- Symmetry: I4/mmm, No. 139
- DOS(E_F): 1.92 states/eV/f.u.


Here are the energies relative to the best structure, in kJ/mol of atoms: i 5.1; ii 3.5; iii 0.0.


i | Below is a relaxed NiPt2W crystal, with properties calculated at the GGA-PBEsol level.

Cell: 2.7213 3.8506 5.3255 Å, 90.00 89.98 90.00°
Sites, in units of the cell vectors:
1 Ni 0.5000 0.5000 0.5000
2 W 0.5000 0.5000 0.0000
3 Pt 0.0001 0.0000 0.7464
4 Pt 0.9999 0.0000 0.2536

Output
- Crystal system: orthorhombic
- Symmetry: Pmmm, No. 47
- DOS(E_F): 2.77 states/eV/f.u.


ii | Below is a relaxed NiPt2W crystal, with properties calculated at the GGA-PBEsol level.

Cell: 3.7861 3.7861 4.7086 Å, 113.71 113.71 90.00°
Sites, in units of the cell vectors:
1 Ni 0.5000 0.5000 0.0000
2 W 0.0000 0.0000 0.0000
3 Pt 0.7500 0.2500 0.5000
4 Pt 0.2500 0.7500 0.5000

Output
- Crystal system: tetragonal
- Symmetry: I4/mmm, No. 139
- DOS(E_F): 2.69 states/eV/f.u.


iii | Below is a relaxed NiPt2W crystal, with properties calculated at the GGA-PBEsol level.

Cell: 2.7175 4.6779 4.6941 Å, 99.85 90.00 106.89°
Sites, in units of the cell vectors:
1 Ni 0.7525 0.5051 0.2521
2 W 0.4963 0.9926 0.4995
3 Pt 0.0034 0.0068 0.0150
4 Pt 0.2478 0.4955 0.7334

Output
- Crystal system: monoclinic
- Symmetry: Cm, No. 8
- DOS(E_F): 3.50 states/eV/f.u.


Here are the energies relative to the best structure, in kJ/mol of atoms: i 2.6; ii 0.0; iii 8.7.


i | Below is a relaxed NiPt2W crystal, with properties calculated at the GGA-PBEsol level.

Cell: 2.7287 3.8081 5.3978 Å, 90.00 90.00 90.00°
Sites, in units of the cell vectors:
1 Ni 0.5000 0.5000 0.7441
2 W 0.0000 0.0000 0.5115
3 Pt 0.0000 0.0000 0.9811
4 Pt 0.5000 0.5000 0.2633

Output
- Crystal system: orthorhombic
- Symmetry: Pmm2, No. 25
- DOS(E_F): 2.61 states/eV/f.u.


ii | Below is a relaxed NiPt2W crystal, with properties calculated at the GGA-PBEsol level.

Cell: 2.7203 2.7203 7.5434 Å, 90.00 90.00 90.00°
Sites, in units of the cell vectors:
1 Ni 0.5000 0.5000 0.5000
2 W 0.5000 0.5000 0.0000
3 Pt 0.0000 0.0000 0.7417
4 Pt 0.0000 0.0000 0.2583

Output
- Crystal system: tetragonal
- Symmetry: P4/mmm, No. 123
- DOS(E_F): 4.32 states/eV/f.u.


iii | Below is a relaxed NiPt2W crystal, with properties calculated at the GGA-PBEsol level.

Cell: 3.7795 3.7795 4.7320 Å, 113.54 113.54 90.00°
Sites, in units of the cell vectors:
1 Ni 0.2500 0.7500 0.5000
2 W 0.5000 0.5000 0.0000
3 Pt 0.0000 0.0000 0.0000
4 Pt 0.7500 0.2500 0.5000

Output
- Crystal system: tetragonal
- Symmetry: I-4m2, No. 119
- DOS(E_F): 2.56 states/eV/f.u.


Here are the energies relative to the best structure, in kJ/mol of atoms: i 3.4; ii 1.3; iii 0.0.


i | Below is a relaxed NiPtW2 crystal, with properties calculated at the GGA-PBEsol level.

Cell: 2.6910 4.3582 4.8116 Å, 90.00 90.00 90.00°
Sites, in units of the cell vectors:
1 Ni 0.5000 0.0000 0.5415
2 Pt 0.5000 0.5000 0.2205
3 W 0.0000 0.0000 0.0354
4 W 0.0000 0.5000 0.7026

Output
- Crystal system: orthorhombic
- Symmetry: Pmm2, No. 25
- DOS(E_F): 3.02 states/eV/f.u.


ii | Below is a relaxed NiPtW2 crystal, with properties calculated at the GGA-PBEsol level.

Cell: 2.6960 2.6960 7.8082 Å, 90.00 90.00 89.94°
Sites, in units of the cell vectors:
1 Ni 0.0000 0.0000 0.5040
2 W 0.0000 0.0000 0.0105
3 W 0.5000 0.5000 0.7245
4 Pt 0.5000 0.5000 0.2610

Output
- Crystal system: tetragonal
- Symmetry: P4mm, No. 99
- DOS(E_F): 3.37 states/eV/f.u.


Here are the energies relative to the best structure, in kJ/mol of atoms: i 0.0; ii 2.5.


i | Below is a relaxed ReNi2 crystal, with properties calculated at the GGA-PBEsol level.

Cell: 2.5704 3.6540 4.3566 Å, 114.79 107.16 90.00°
Sites, in units of the cell vectors:
1 Re 0.0000 0.0000 0.0000
2 Ni 0.3336 0.3336 0.6672
3 Ni 0.6664 0.6664 0.3328

Output
- Crystal system: orthorhombic
- Symmetry: Immm, No. 71
- DOS(E_F): 1.64 states/eV/f.u.


ii | Below is a relaxed ReNi2 crystal, with properties calculated at the GGA-PBEsol level.

Cell: 4.5965 4.5965 4.5965 Å, 60.00 60.00 60.00°
Last column: magnetic moment on the atom in μB.
Sites, in units of the cell vectors:
1 Ni 0.1250 0.6250 0.6250  0.35
2 Ni 0.6250 0.6250 0.6250  0.35
3 Ni 0.6250 0.6250 0.1250  0.35
4 Ni 0.6250 0.1250 0.6250  0.35
5 Re 0.0000 0.0000 0.0000  0.11
6 Re 0.2500 0.2500 0.2500  0.11

Output
- Crystal system: cubic
- Symmetry: Fd-3m, No. 227
- DOS(E_F): 2.93 states/eV/f.u.


Here are the energies relative to the best structure, in kJ/mol of atoms: i 0.0; ii 3.0.


i | Below is a relaxed ReNi2 crystal, with properties calculated at the GGA-PBEsol level.

Cell: 2.5069 4.0074 4.0074 Å, 120.00 90.00 90.00°
Sites, in units of the cell vectors:
1 Re 0.0000 0.0000 0.0000
2 Ni 0.4998 0.3333 0.6667
3 Ni 0.5002 0.6667 0.3333

Output
- Crystal system: hexagonal
- Symmetry: P6/mmm, No. 191
- DOS(E_F): 1.11 states/eV/f.u.


ii | Below is a relaxed ReNi2 crystal, with properties calculated at the GGA-PBEsol level.

Cell: 2.6108 4.8012 6.0795 Å, 105.29 90.00 105.78°
Sites, in units of the cell vectors:
1 Ni 0.8037 0.6074 0.8668
2 Ni 0.1963 0.3926 0.1332
3 Ni 0.8582 0.7164 0.4678
4 Ni 0.1418 0.2836 0.5322
5 Re 0.4778 0.9556 0.2010
6 Re 0.5222 0.0444 0.7990

Output
- Crystal system: monoclinic
- Symmetry: C2/m, No. 12
- DOS(E_F): 2.05 states/eV/f.u.


iii | Below is a relaxed ReNi2 crystal, with properties calculated at the GGA-PBEsol level.

Cell: 3.5483 5.1675 7.7091 Å, 90.00 90.00 90.00°
Sites, in units of the cell vectors:
1 Ni 0.7500 0.8703 0.7499
2 Ni 0.7500 0.8825 0.4149
3 Ni 0.2500 0.6175 0.9149
4 Ni 0.2500 0.6297 0.2499
5 Ni 0.7500 0.3703 0.7501
6 Ni 0.7500 0.3825 0.0851
7 Ni 0.2500 0.1175 0.5851
8 Ni 0.2500 0.1297 0.2501
9 Re 0.7500 0.8751 0.0791
10 Re 0.2500 0.6249 0.5791
11 Re 0.7500 0.3751 0.4209
12 Re 0.2500 0.1249 0.9209

Output
- Crystal system: orthorhombic
- Symmetry: Pnma, No. 62
- DOS(E_F): 2.64 states/eV/f.u.


iv | Below is a relaxed ReNi2 crystal, with properties calculated at the GGA-PBEsol level.

Cell: 2.6090 2.6090 5.5286 Å, 103.65 103.65 90.00°
Sites, in units of the cell vectors:
1 Re 0.0000 0.0000 0.0000
2 Ni 0.6690 0.6690 0.3380
3 Ni 0.3310 0.3310 0.6620

Output
- Crystal system: tetragonal
- Symmetry: I4/mmm, No. 139
- DOS(E_F): 2.77 states/eV/f.u.


Here are the energies relative to the best structure, in kJ/mol of atoms: i 0.0; ii 3.5; iii 6.3; iv 7.3.